First-principles (PBE-GGA) data for an optimized crystal structure of Zr2Be2Pt, as listed in Alexandria via LeMat-Bulk.

```
10
Lattice="6.419 0.000 0.000 0.000 6.419 0.000 0.000 0.000 3.705" Properties=species:S:1:pos:R:3 pbc="T T T"
Zr 1.115 2.095 0.000
Zr 2.095 5.304 0.000
Zr 4.325 1.115 0.000
Zr 5.304 4.325 0.000
Be 0.788 3.998 1.852
Be 2.422 0.788 1.852
Be 3.998 5.631 1.852
Be 5.631 2.422 1.852
Pt 0.000 0.000 1.852
Pt 3.210 3.210 1.852
```

Results
Its space-group type is No. 127. The value obtained for the formation energy is -0.611 eV per atom.